DFT (PBE) results for an optimized crystal structure of Tl3InSnHg.

Computed properties:
Formation energy: 29 meV per atom

a = 3.313 Å, b = 18.943 Å, c = 11.110 Å
α = 90.00°, β = 90.00°, γ = 90.00°
Space group Cmcm (No. 63)
One atom of each set of equivalent atoms:
Tl 0.000 0.101 0.250 (multiplicity 4)
Tl 0.000 0.335 0.501 (multiplicity 8)
In 0.000 0.437 0.250 (multiplicity 4)
Sn 0.000 0.224 0.750 (multiplicity 4)
Hg 0.000 0.000 0.000 (multiplicity 4)